(1)
Computed, not measured: a crystal of LaFe2Pb relaxed with PBEsol at the meta-GGA SCAN level of DFT.

```
LaFe2Pb
1.0
3.854 0.000 0.000
0.000 4.209 -0.007
0.000 -2.097 4.793
Fe La Pb
2 1 1
Direct
0.500 0.308 0.241
0.000 0.186 0.998
0.000 0.899 0.423
0.500 0.606 0.837
```

Output
- E: -154.64 eV per cell
- Formation enthalpy at 0 K: 0.50 eV per formula unit
- Calculated density: 9.8 Mg/m³
- Spin magnetization: 4.11 μB/f.u.
- SG: No. 38

=====

(2)
Computed, not measured: a crystal of AgPb3I relaxed with PBEsol at the meta-GGA SCAN level of DFT.

```
AgPb3I
1.0
5.862 0.000 0.000
0.000 5.862 0.000
0.000 0.000 5.862
I Pb Ag
1 3 1
Direct
0.000 0.000 0.000
0.000 0.000 0.500
0.000 0.500 0.000
0.500 0.000 0.000
0.500 0.500 0.500
```

Output
- E: -290.65 eV per cell
- Uncorrected formation energy: 0.9596 eV/atom
- Calculated density: 7.1 Mg/m³
- Spin magnetization: 0.00 μB/f.u.
- SG: No. 221

=====

(3)
Computed, not measured: a crystal of HfGeAu3 relaxed with PBEsol at the meta-GGA SCAN level of DFT.

```
HfGeAu3
1.0
-1.112 0.925 4.863
4.561 -1.745 1.375
1.924 4.673 -0.449
Hf Ge Au
1 1 3
Direct
0.000 0.000 0.000
0.500 0.500 0.500
0.500 0.000 0.000
0.000 0.000 0.500
0.000 0.500 0.000
```

Output
- E: -285.44 eV per cell
- Formation enthalpy at 0 K: 3.79 eV per formula unit
- Calculated density: 10.7 Mg/m³
- Spin magnetization: 0.00 μB/f.u.
- SG: No. 221

=====

(4)
Computed, not measured: a crystal of TiNiTe2I relaxed with PBEsol at the meta-GGA SCAN level of DFT.

```
TiNiTe2I
1.0
4.980 0.000 0.000
0.000 4.980 0.000
0.000 0.000 5.068
Ni Ti Te I
1 1 2 1
Direct
0.000 0.000 0.000
0.500 0.500 0.500
0.500 0.000 0.000
0.000 0.500 0.000
0.000 0.000 0.500
```

Output
- E: -141.77 eV per cell
- Uncorrected formation energy: 0.3362 eV/atom
- Calculated density: 6.5 Mg/m³
- Spin magnetization: 1.41 μB/f.u.
- SG: No. 123

=====

(5)
Computed, not measured: a crystal of SrNiCl relaxed with PBEsol at the meta-GGA SCAN level of DFT.

```
SrNiCl
1.0
-0.153 4.186 1.922
-3.328 2.960 -1.185
-3.339 1.036 3.004
Sr Cl Ni
1 1 1
Direct
0.000 0.000 0.000
0.500 0.500 0.500
0.750 0.750 0.750
```

Output
- E: -47.00 eV per cell
- Uncorrected formation energy: -0.1923 eV/atom
- Calculated density: 4.4 Mg/m³
- Spin magnetization: 0.63 μB/f.u.
- SG: No. 216

=====

(6)
Computed, not measured: a crystal of AlAgMo2 relaxed with PBEsol at the meta-GGA SCAN level of DFT.

```
AlAgMo2
1.0
-0.713 -1.147 -2.921
2.778 -1.623 -0.040
-2.747 -4.764 2.541
Ag Mo Al
1 2 1
Direct
0.000 0.000 0.519
0.000 0.000 0.015
0.500 0.500 0.215
0.500 0.500 0.750
```

Output
- E: -108.63 eV per cell
- Formation enthalpy at 0 K: 0.26 eV per formula unit
- Calculated density: 8.7 Mg/m³
- Spin magnetization: 0.00 μB/f.u.
- SG: No. 99

=====

(7)
Computed, not measured: a crystal of TaHgO2 relaxed with PBEsol at the meta-GGA SCAN level of DFT.

```
TaHgO2
1.0
-2.403 2.519 -4.737
1.823 -6.029 -0.483
-4.186 -4.127 -0.071
Ta O Hg
2 4 2
Direct
0.250 0.500 0.250
0.500 0.000 0.500
0.375 0.750 0.875
0.375 0.750 0.375
0.375 0.250 0.375
0.875 0.250 0.375
0.000 0.000 0.000
0.750 0.500 0.750
```

Output
- E: -308.56 eV per cell
- Uncorrected formation energy: -1.7675 eV/atom
- Calculated density: 8.4 Mg/m³
- Spin magnetization: 0.00 μB/f.u.
- SG: No. 141

=====

(8)
Computed, not measured: a crystal of BaSi2Rh2 relaxed with PBEsol at the meta-GGA SCAN level of DFT.

```
BaSi2Rh2
1.0
6.651 0.000 0.000
0.000 7.648 -0.018
0.000 -0.196 7.887
Si Ba Rh
8 4 8
Direct
0.422 0.628 0.926
0.650 0.687 0.437
0.922 0.872 0.074
0.850 0.187 0.437
0.578 0.372 0.074
0.150 0.813 0.563
0.078 0.128 0.926
0.350 0.313 0.563
0.383 0.997 0.236
0.617 0.003 0.764
0.883 0.503 0.764
0.117 0.497 0.236
0.604 0.388 0.377
0.104 0.112 0.623
0.168 0.829 0.860
0.896 0.888 0.377
0.332 0.329 0.860
0.668 0.671 0.140
0.832 0.171 0.140
0.396 0.612 0.623
```

Output
- E: -527.89 eV per cell
- Uncorrected formation energy: -0.9696 eV/atom
- Calculated density: 6.6 Mg/m³
- Spin magnetization: 0.00 μB/f.u.
- SG: No. 14

=====

(9)
Computed, not measured: a crystal of Al5Sb4 relaxed with PBEsol at the meta-GGA SCAN level of DFT.

```
Al5Sb4
1.0
-0.852 -3.740 -0.352
6.474 -3.359 -1.046
0.283 -2.692 6.853
Sb Al
4 5
Direct
0.000 0.700 0.300
0.300 0.700 0.700
0.700 0.300 0.300
0.000 0.300 0.700
0.338 0.000 0.323
0.662 0.677 0.000
0.000 0.000 0.000
0.662 0.000 0.677
0.338 0.323 0.000
```

Output
- E: -186.11 eV per cell
- Uncorrected formation energy: 0.1879 eV/atom
- Calculated density: 5.3 Mg/m³
- Spin magnetization: 0.00 μB/f.u.
- SG: No. 139

=====

(10)
Computed, not measured: a crystal of Ir2Se relaxed with PBEsol at the meta-GGA SCAN level of DFT.

```
Ir2Se
1.0
-2.322 1.260 1.156
1.006 -4.806 3.662
3.195 4.282 1.748
Se Ir
2 4
Direct
0.847 0.695 0.870
0.153 0.305 0.130
0.171 0.342 0.588
0.518 0.036 0.747
0.482 0.964 0.253
0.829 0.658 0.412
```

Output
- E: -321.77 eV per cell
- Uncorrected formation energy: 0.4632 eV/atom
- E above lowest polymorph: 0.003 eV per atom
- Calculated density: 16.9 Mg/m³
- Spin magnetization: 0.00 μB/f.u.
- SG: No. 12

=====

(11)
Computed, not measured: a crystal of CsTi2Cu2Te8 relaxed with PBEsol at the meta-GGA SCAN level of DFT.

```
CsTi2Cu2Te8
1.0
3.865 0.000 0.000
1.932 9.749 0.197
1.932 1.617 10.222
Ti Te Cu Cs
2 8 2 1
Direct
0.302 0.203 0.193
0.697 0.792 0.814
0.624 0.684 0.067
0.924 0.001 0.150
0.374 0.312 0.940
0.075 0.994 0.856
0.320 0.667 0.692
0.678 0.336 0.307
0.690 0.019 0.601
0.315 0.971 0.399
0.236 0.584 0.943
0.763 0.417 0.058
0.011 0.361 0.617
```

Output
- E: -405.80 eV per cell
- Uncorrected formation energy: -0.5786 eV/atom
- Calculated density: 6.0 Mg/m³
- Spin magnetization: 0.00 μB/f.u.
- SG: No. 8

=====

(12)
Computed, not measured: a crystal of Tc4IrBr relaxed with PBEsol at the meta-GGA SCAN level of DFT.

```
Tc4IrBr
1.0
-4.831 1.128 1.109
-3.703 -1.183 -3.276
-3.287 -3.715 1.113
Tc Ir Br
4 1 1
Direct
0.374 0.374 0.374
0.878 0.374 0.374
0.374 0.878 0.374
0.374 0.374 0.878
0.000 0.000 0.000
0.750 0.750 0.750
```

Output
- E: -224.49 eV per cell
- Uncorrected formation energy: 1.0511 eV/atom
- Calculated density: 11.9 Mg/m³
- Spin magnetization: 0.00 μB/f.u.
- SG: No. 216

=====

Question: Which value of E does entry 11 give?
Answer: -405.80 eV per cell

=====

Repeat the sixth record exactly.
Computed, not measured: a crystal of AlAgMo2 relaxed with PBEsol at the meta-GGA SCAN level of DFT.

```
AlAgMo2
1.0
-0.713 -1.147 -2.921
2.778 -1.623 -0.040
-2.747 -4.764 2.541
Ag Mo Al
1 2 1
Direct
0.000 0.000 0.519
0.000 0.000 0.015
0.500 0.500 0.215
0.500 0.500 0.750
```

Output
- E: -108.63 eV per cell
- Formation enthalpy at 0 K: 0.26 eV per formula unit
- Calculated density: 8.7 Mg/m³
- Spin magnetization: 0.00 μB/f.u.
- SG: No. 99